SrLiTl: optimized geometry, PBE-GGA.

Properties
Its space group is I4mm (107). The total energy is -6.74 eV per cell. Its density of states at the Fermi level is 0.33 states/eV/f.u. Its total magnetization is 0.0 μB per formula unit. The calculation puts the calculated density at 5.5 Mg/m³. As for the formation energy: -0.26 eV per atom.

a b c (Å): 6.311 6.311 6.311
angles (deg): 143.22 143.22 52.99
Element x y z (fractional)
Sr 0.000 0.000 0.000
Li 0.298 0.298 0.000
Tl 0.689 0.689 0.000